[1]
Here is crystalline BiMoSe3 at its relaxed geometry from Alexandria. Energies are from GGA-PBE.

```
BiMoSe3
1.0
4.9816 0.0000 0.0000
0.0000 4.9816 0.0000
0.0000 0.0000 4.9816
Bi Mo Se
1 1 3
direct
0.0000 0.0000 0.0000
0.5000 0.5000 0.5000
0.0000 0.5000 0.5000
0.5000 0.0000 0.5000
0.5000 0.5000 0.0000
```

Calculated values
- Total moment: 1.1 μB per formula unit
- Formation energy without anion corrections: 0.171 eV/atom
- Calculated total energy: -4.86 eV per atom
- V: 124 Å³/cell

[2]
Here is crystalline Ac3PmIr3 at its relaxed geometry from Alexandria. Energies are from GGA-PBE.

```
Ac3PmIr3
1.0
4.9817 -5.4241 0.0000
4.9817 5.4241 0.0000
-0.1894 0.0000 7.5228
Ac Pm Ir
6 2 6
direct
0.1823 0.8177 0.0000
0.2522 0.7478 0.5000
0.3161 0.3161 0.8937
0.6839 0.6839 0.1063
0.7478 0.2522 0.5000
0.8177 0.1823 0.0000
0.2263 0.2263 0.3775
0.7737 0.7737 0.6225
0.0237 0.4935 0.2124
0.0620 0.0620 0.6950
0.4935 0.0237 0.2124
0.5065 0.9763 0.7876
0.9380 0.9380 0.3050
0.9763 0.5065 0.7876
```

Calculated values
- Total moment: 0.0 μB per formula unit
- Calculated total energy: -6.71 eV per atom
- V: 407 Å³/cell
- Formation energy from the elements: -3.3 eV/f.u.

[3]
Here is crystalline LaZnSiN2 at its relaxed geometry from Alexandria. Energies are from GGA-PBE.

```
LaZnSiN2
1.0
4.2008 0.0000 0.0000
0.0000 4.2008 0.0000
0.0000 0.0000 6.3556
La Zn Si N
1 1 1 2
direct
0.0000 0.0000 0.0000
0.0000 0.0000 0.5000
0.5000 0.5000 0.5000
0.0000 0.5000 0.0000
0.5000 0.0000 0.0000
```

Calculated values
- Total moment: 0.0 μB per formula unit
- Formation energy without anion corrections: 1.208 eV/atom
- Calculated total energy: -4.45 eV per atom
- V: 112 Å³/cell

[4]
Here is crystalline Gd2GaCo at its relaxed geometry from Alexandria. Energies are from GGA-PBE.

```
Gd2GaCo
1.0
1.8726 1.0812 9.3050
-1.8726 1.0812 9.3050
0.0000 -2.1623 9.3050
Gd Ga Co
2 1 1
direct
0.1118 0.1118 0.1118
0.8882 0.8882 0.8882
0.0000 0.0000 0.0000
0.5000 0.5000 0.5000
```

Calculated values
- Total moment: 14.1 μB per formula unit
- Calculated total energy: -9.49 eV per atom
- V: 113 Å³/cell
- Formation energy from the elements: 0.3 eV/f.u.

[5]
Here is crystalline Tb2BiAs at its relaxed geometry from Alexandria. Energies are from GGA-PBE.

```
Tb2BiAs
1.0
2.1232 1.2258 7.3699
-2.1232 1.2258 7.3699
0.0000 -2.4517 7.3699
Tb Bi As
2 1 1
direct
0.0000 0.0000 0.0000
0.1856 0.1856 0.1856
0.4254 0.4254 0.4254
0.5948 0.5948 0.5948
```

Calculated values
- Total moment: 0.0 μB per formula unit
- Calculated total energy: -5.54 eV per atom
- V: 115 Å³/cell
- Formation energy from the elements: -4.4 eV/f.u.

[6]
Here is crystalline Sc2GaIO at its relaxed geometry from Alexandria. Energies are from GGA-PBE.

```
Sc2GaIO
1.0
4.3134 0.0000 0.0000
0.0000 4.3134 0.0000
0.0000 0.0000 6.1288
Sc Ga I O
2 1 1 1
direct
0.0000 0.5000 0.0000
0.5000 0.0000 0.0000
0.0000 0.0000 0.5000
0.5000 0.5000 0.5000
0.0000 0.0000 0.0000
```

Calculated values
- Total moment: 0.0 μB per formula unit
- Formation energy without anion corrections: -0.827 eV/atom
- Calculated total energy: -5.27 eV per atom
- V: 114 Å³/cell

[7]
Here is crystalline La2SmAu3 at its relaxed geometry from Alexandria. Energies are from GGA-PBE.

```
La2SmAu3
1.0
5.3056 0.0000 0.0000
0.0000 7.4558 0.0000
-2.6378 0.0000 7.9748
La Sm Au
4 2 6
direct
0.0000 0.0000 0.0000
0.0000 0.5000 0.0000
0.3341 0.0000 0.6683
0.6659 0.0000 0.3317
0.3326 0.5000 0.6657
0.6674 0.5000 0.3343
0.1705 0.2631 0.3411
0.1705 0.7369 0.3411
0.5000 0.2567 0.0000
0.5000 0.7433 0.0000
0.8295 0.2631 0.6589
0.8295 0.7369 0.6589
```

Calculated values
- Total moment: 0.0 μB per formula unit
- Calculated total energy: -4.85 eV per atom
- V: 315 Å³/cell
- Formation energy from the elements: -4.7 eV/f.u.

[8]
Here is crystalline Mg2TiW at its relaxed geometry from Alexandria. Energies are from GGA-PBE.

```
Mg2TiW
1.0
-3.7837 3.7837 2.6293
3.7837 -3.7837 2.6293
3.7837 3.7837 -2.6293
Mg Ti W
4 2 2
direct
0.1223 0.6250 0.9973
0.3750 0.3723 0.4973
0.6277 0.1250 0.0027
0.8750 0.8777 0.5027
0.2500 0.7500 0.5000
0.5000 0.5000 0.0000
0.0000 0.0000 0.0000
0.7500 0.2500 0.5000
```

Calculated values
- Total moment: 0.0 μB per formula unit
- Calculated total energy: -5.11 eV per atom
- V: 151 Å³/cell
- Formation energy from the elements: 3.6 eV/f.u.

[9]
Here is crystalline ReC at its relaxed geometry from Alexandria. Energies are from GGA-PBE.

```
ReC
1.0
1.4632 -3.5150 0.0000
1.4632 3.5150 0.0000
0.0000 0.0000 4.1055
Re C
2 2
direct
0.1434 0.8566 0.7500
0.8566 0.1434 0.2500
0.4305 0.5695 0.7500
0.5695 0.4305 0.2500
```

Calculated values
- Total moment: 0.0 μB per formula unit
- Calculated total energy: -10.02 eV per atom
- V: 42 Å³/cell
- Formation energy from the elements: 1.6 eV/f.u.

[10]
Here is crystalline Tb2EuY at its relaxed geometry from Alexandria. Energies are from GGA-PBE.

```
Tb2EuY
1.0
0.0000 4.0771 4.0771
4.0771 0.0000 4.0771
4.0771 4.0771 0.0000
Tb Eu Y
2 1 1
direct
0.2500 0.2500 0.2500
0.7500 0.7500 0.7500
0.0000 0.0000 0.0000
0.5000 0.5000 0.5000
```

Calculated values
- Total moment: 8.3 μB per formula unit
- Calculated total energy: -6.34 eV per atom
- V: 136 Å³/cell
- Formation energy from the elements: 0.6 eV/f.u.

[11]
Here is crystalline LiMo2Cl at its relaxed geometry from Alexandria. Energies are from GGA-PBE.

```
LiMo2Cl
1.0
3.1984 0.0000 0.0000
0.0000 3.7836 0.0000
0.0000 0.0000 7.4824
Li Mo Cl
1 2 1
direct
0.0000 0.0000 0.0000
0.0000 0.5000 0.5000
0.5000 0.0000 0.5000
0.5000 0.5000 0.0000
```

Calculated values
- Total moment: 0.1 μB per formula unit
- Formation energy without anion corrections: 0.397 eV/atom
- Calculated total energy: -5.96 eV per atom
- V: 91 Å³/cell

[12]
Here is crystalline InRuAu2 at its relaxed geometry from Alexandria. Energies are from GGA-PBE.

```
InRuAu2
1.0
2.7945 -5.0867 0.0000
2.7945 5.0867 0.0000
-1.5471 0.0000 2.5527
In Ru Au
1 1 2
direct
0.0000 0.0000 0.0000
0.5000 0.5000 0.0000
0.0000 0.5000 0.5000
0.5000 0.0000 0.5000
```

Calculated values
- Total moment: 0.8 μB per formula unit
- Calculated total energy: -4.45 eV per atom
- V: 73 Å³/cell
- Formation energy from the elements: 0.8 eV/f.u.